(1)
Compound: Mg2GaNi2
Source: Alexandria via LeMat-Bulk
Functional: PBE
Structure: optimized geometry

The structure in CIF format:
```
data_Mg2GaNi2
_chemical_formula_sum 'Mg4 Ga2 Ni4'
_symmetry_space_group_name_H-M 'I 4/m m m'
_symmetry_Int_Tables_number 139
_symmetry_space_group_name_Hall '-I 4 2'
_cell_length_a 3.823
_cell_length_b 3.823
_cell_length_c 11.414
_cell_angle_alpha 90.00
_cell_angle_beta 90.00
_cell_angle_gamma 90.00
loop_
_atom_site_label
_atom_site_type_symbol
_atom_site_fract_x
_atom_site_fract_y
_atom_site_fract_z
_atom_site_occupancy
Mg1 Mg 0.000 0.500 0.250 1
Ga1 Ga 0.000 0.000 0.000 1
Ni1 Ni 0.000 0.000 0.402 1
```

As for the total energy: -16.87 eV/f.u. The density of states at the Fermi level is 1.963 states/eV/f.u.

(2)
Compound: TbNdSm6Dy2
Source: Alexandria via LeMat-Bulk
Functional: PBE
Structure: optimized geometry

The structure in CIF format:
```
data_TbNdSm6Dy2
_chemical_formula_sum 'Tb4 Nd4 Sm24 Dy8'
_symmetry_space_group_name_H-M 'C 1 2/c 1'
_symmetry_Int_Tables_number 15
_symmetry_space_group_name_Hall '-C 2yc'
_cell_length_a 9.196
_cell_length_b 15.224
_cell_length_c 9.723
_cell_angle_alpha 90.00
_cell_angle_beta 98.11
_cell_angle_gamma 90.00
loop_
_atom_site_label
_atom_site_type_symbol
_atom_site_fract_x
_atom_site_fract_y
_atom_site_fract_z
_atom_site_occupancy
Tb1 Tb 0.000 0.027 0.250 1
Nd1 Nd 0.000 0.406 0.750 1
Sm1 Sm 0.065 0.180 0.945 1
Sm2 Sm 0.100 0.393 0.121 1
Sm3 Sm 0.205 0.226 0.317 1
Dy1 Dy 0.245 0.050 0.545 1
```

As for the total energy: -45.72 eV/f.u. The density of states at the Fermi level is 14.859 states/eV/f.u.

So what do the calculations give for DFT formation energy? Going down the list: 0.181; 0.120 eV/atom.
So what do the calculations give for theoretical density? Going down the list: 4.7; 7.5 g/cm3.